# 1
# K2ZnInF6

K2ZnInF6 after structural relaxation (PBE, the Alexandria database).

a b c (Å): 6.1409 8.7025 6.1436
angles (deg): 90.00 90.00 90.00
Space group Pmmn (No. 59, origin choice 2)
Asymmetric unit:
K: 0.2500 0.9998 0.2484
Zn: 0.2500 0.2500 0.7511
In: 0.2500 0.7500 0.7485
F: 0.0107 0.2500 0.5134
F: 0.0116 0.2500 0.9904
F: 0.2500 0.0111 0.7517

formation energy from raw total energies: -2.45 eV per atom
electronic total energy: -4.193 eV/atom
size of the total moment: 0.000 μB per formula unit
volume: 328.3 Å³/cell

=====

# 2
# K4Zn3InF12

K4Zn3InF12 after structural relaxation (PBE, the Alexandria database).

a b c (Å): 8.4874 8.4874 8.4874
angles (deg): 90.00 90.00 90.00
Space group Im-3m (No. 229)
Asymmetric unit:
K: 0.2500 0.2500 0.2500
Zn: 0.0000 0.0000 0.5000
In: 0.0000 0.0000 0.0000
F: 0.0000 0.0000 0.2618
F: 0.0000 0.2500 0.5000

formation energy from raw total energies: -2.49 eV per atom
electronic total energy: -4.163 eV/atom
size of the total moment: 0.000 μB per formula unit
volume: 611.4 Å³/cell

=====

# 3
# KZrInF2

KZrInF2 after structural relaxation (PBE, the Alexandria database).

a b c (Å): 4.5553 4.5553 5.8504
angles (deg): 90.00 90.00 90.00
Space group P4/mmm (No. 123)
Asymmetric unit:
K: 0.0000 0.0000 0.0000
Zr: 0.5000 0.5000 0.5000
In: 0.0000 0.0000 0.5000
F: 0.0000 0.5000 0.0000

formation energy from raw total energies: -0.64 eV per atom
electronic total energy: -3.868 eV/atom
size of the total moment: 0.858 μB per formula unit
volume: 121.4 Å³/cell

=====

# 4
# KZrIn2F8

KZrIn2F8 after structural relaxation (PBE, the Alexandria database).

a b c (Å): 5.2816 5.9048 7.0308
angles (deg): 90.13 91.59 90.07
Space group P-1 (No. 2)
Asymmetric unit:
K: 0.0000 0.0000 0.0000
Zr: 0.0000 0.0000 0.5000
In: 0.4874 0.5004 0.7343
F: 0.1305 0.7532 0.6849
F: 0.1317 0.2462 0.6867
F: 0.3139 0.0006 0.3442
F: 0.4945 0.7149 0.0004

formation energy from raw total energies: -2.80 eV per atom
electronic total energy: -5.306 eV/atom
size of the total moment: 0.000 μB per formula unit
volume: 219.2 Å³/cell

=====

# 5
# LaInF2

LaInF2 after structural relaxation (PBE, the Alexandria database).

a b c (Å): 4.7831 4.7831 13.4600
angles (deg): 90.00 90.00 120.00
Space group R-3m (No. 166, hexagonal axes)
Asymmetric unit:
La: 0.0000 0.0000 0.0000
In: 0.0000 0.0000 0.5000
F: 0.0000 0.0000 0.1697

formation energy from raw total energies: -2.15 eV per atom
electronic total energy: -5.006 eV/atom
size of the total moment: 0.000 μB per formula unit
volume: 266.7 Å³/cell
energy above the lowest structure with this stoichiometry: 219 meV per atom

=====

# 6
# LaIn3F

LaIn3F after structural relaxation (PBE, the Alexandria database).

a b c (Å): 6.2737 6.2737 6.2737
angles (deg): 90.00 90.00 90.00
Space group Pm-3m (No. 221)
Asymmetric unit:
La: 0.0000 0.0000 0.0000
In: 0.0000 0.0000 0.5000
F: 0.5000 0.5000 0.5000

formation energy from raw total energies: 0.38 eV per atom
electronic total energy: -2.626 eV/atom
size of the total moment: 0.000 μB per formula unit
volume: 246.9 Å³/cell
energy above the lowest structure with this stoichiometry: 1194 meV per atom

=====

# 7
# La2InF

La2InF after structural relaxation (PBE, the Alexandria database).

a b c (Å): 3.4342 3.4342 8.2566
angles (deg): 90.00 90.00 90.00
Space group P4/mmm (No. 123)
Asymmetric unit:
La: 0.0000 0.0000 0.2255
In: 0.5000 0.5000 0.5000
F: 0.5000 0.5000 0.0000

formation energy from raw total energies: -1.27 eV per atom
electronic total energy: -4.887 eV/atom
size of the total moment: 0.000 μB per formula unit
volume: 97.4 Å³/cell
energy above the lowest structure with this stoichiometry: 147 meV per atom

=====

# 8
# La2In2F

La2In2F after structural relaxation (PBE, the Alexandria database).

a b c (Å): 7.1070 7.1070 5.5445
angles (deg): 90.00 90.00 90.00
Space group P4/mbm (No. 127)
Asymmetric unit:
La: 0.1673 0.3327 0.0000
In: 0.1478 0.6478 0.5000
F: 0.0000 0.0000 0.0000

formation energy from raw total energies: -1.21 eV per atom
electronic total energy: -4.650 eV/atom
size of the total moment: 0.000 μB per formula unit
volume: 280.0 Å³/cell

=====

# 9
# LaInF3

LaInF3 after structural relaxation (PBE, the Alexandria database).

a b c (Å): 4.6581 4.6581 4.6581
angles (deg): 90.00 90.00 90.00
Space group Pm-3m (No. 221)
Asymmetric unit:
La: 0.0000 0.0000 0.0000
In: 0.5000 0.5000 0.5000
F: 0.0000 0.5000 0.5000

formation energy from raw total energies: -2.00 eV per atom
electronic total energy: -4.652 eV/atom
size of the total moment: 1.000 μB per formula unit
volume: 101.1 Å³/cell
energy above the lowest structure with this stoichiometry: 869 meV per atom

=====

# 10
# LaInF3

LaInF3 after structural relaxation (PBE, the Alexandria database).

a b c (Å): 4.7684 4.7684 4.7684
angles (deg): 90.00 90.00 90.00
Space group Pm-3m (No. 221)
Asymmetric unit:
La: 0.0000 0.0000 0.0000
In: 0.5000 0.5000 0.5000
F: 0.0000 0.0000 0.5000

formation energy from raw total energies: -2.87 eV per atom
electronic total energy: -5.521 eV/atom
size of the total moment: 0.427 μB per formula unit
volume: 108.4 Å³/cell
energy above the lowest structure with this stoichiometry: 0 meV per atom

=====

# 11
# LaInF2

LaInF2 after structural relaxation (PBE, the Alexandria database).

a b c (Å): 6.7367 6.7367 6.7367
angles (deg): 90.00 90.00 90.00
Space group Fm-3m (No. 225)
Asymmetric unit:
La: 0.0000 0.0000 0.0000
In: 0.0000 0.0000 0.5000
F: 0.2500 0.2500 0.2500

formation energy from raw total energies: -1.88 eV per atom
electronic total energy: -4.733 eV/atom
size of the total moment: 0.046 μB per formula unit
volume: 305.7 Å³/cell
energy above the lowest structure with this stoichiometry: 492 meV per atom

=====

# 12
# LaIn2F11

LaIn2F11 after structural relaxation (PBE, the Alexandria database).

a b c (Å): 8.1479 10.3131 11.4362
angles (deg): 90.00 90.00 90.00
Space group Ibam (No. 72)
Asymmetric unit:
La: 0.0000 0.0000 0.2500
In: 0.1632 0.3073 0.0000
F: 0.0000 0.5000 0.0000
F: 0.1041 0.3076 0.5000
F: 0.1088 0.1766 0.1356
F: 0.2212 0.0807 0.3721

formation energy from raw total energies: -2.52 eV per atom
electronic total energy: -4.732 eV/atom
size of the total moment: 2.152 μB per formula unit
volume: 961.0 Å³/cell

=====

# 13
# La2InF

La2InF after structural relaxation (PBE, the Alexandria database).

a b c (Å): 7.6157 7.6157 7.6157
angles (deg): 90.00 90.00 90.00
Space group Fm-3m (No. 225)
Asymmetric unit:
La: 0.2500 0.2500 0.2500
In: 0.0000 0.0000 0.0000
F: 0.0000 0.0000 0.5000

formation energy from raw total energies: -1.08 eV per atom
electronic total energy: -4.695 eV/atom
size of the total moment: 0.000 μB per formula unit
volume: 441.7 Å³/cell
energy above the lowest structure with this stoichiometry: 339 meV per atom

=====

# 14
# La2InF

La2InF after structural relaxation (PBE, the Alexandria database).

a b c (Å): 3.9229 3.9229 23.6735
angles (deg): 90.00 90.00 120.00
Space group R-3m (No. 166, hexagonal axes)
Asymmetric unit:
La: 0.0000 0.0000 0.2286
In: 0.0000 0.0000 0.0000
F: 0.0000 0.0000 0.5000

formation energy from raw total energies: -1.42 eV per atom
electronic total energy: -5.034 eV/atom
size of the total moment: 0.000 μB per formula unit
volume: 315.5 Å³/cell
energy above the lowest structure with this stoichiometry: 0 meV per atom

=====

# 15
# LaInF

LaInF after structural relaxation (PBE, the Alexandria database).

a b c (Å): 4.5588 4.5588 24.5613
angles (deg): 90.00 90.00 120.00
Space group R-3m (No. 166, hexagonal axes)
Asymmetric unit:
La: 0.0000 0.0000 0.0965
In: 0.0000 0.0000 0.3533
F: 0.0000 0.0000 0.1937

formation energy from raw total energies: -1.99 eV per atom
electronic total energy: -5.167 eV/atom
size of the total moment: 0.000 μB per formula unit
volume: 442.1 Å³/cell

=====

# 16
# La2InF

La2InF after structural relaxation (PBE, the Alexandria database).

a b c (Å): 7.6265 7.6265 7.7572
angles (deg): 90.00 90.00 90.00
Space group I-42d (No. 122)
Asymmetric unit:
La: 0.1711 0.2500 0.1250
In: 0.0000 0.0000 0.5000
F: 0.0000 0.0000 0.0000

formation energy from raw total energies: -1.41 eV per atom
electronic total energy: -5.025 eV/atom
size of the total moment: 0.280 μB per formula unit
volume: 451.2 Å³/cell
energy above the lowest structure with this stoichiometry: 9 meV per atom

=====

# 17
# La3In5F12

La3In5F12 after structural relaxation (PBE, the Alexandria database).

a b c (Å): 15.0075 15.0075 15.0075
angles (deg): 90.00 90.00 90.00
Space group Ia-3d (No. 230)
Asymmetric unit:
La: 0.0000 0.2500 0.1250
In: 0.0000 0.0000 0.0000
In: 0.0000 0.2500 0.3750
F: 0.0146 0.0968 0.6494

formation energy from raw total energies: -2.61 eV per atom
electronic total energy: -5.159 eV/atom
size of the total moment: 0.000 μB per formula unit
volume: 3380.1 Å³/cell

=====

# 18
# LaInF2

LaInF2 after structural relaxation (PBE, the Alexandria database).

a b c (Å): 3.4838 3.4838 26.6388
angles (deg): 90.00 90.00 120.00
Space group R-3m (No. 166, hexagonal axes)
Asymmetric unit:
La: 0.0000 0.0000 0.0000
In: 0.0000 0.0000 0.5000
F: 0.0000 0.0000 0.3901

formation energy from raw total energies: -2.29 eV per atom
electronic total energy: -5.142 eV/atom
size of the total moment: 0.000 μB per formula unit
volume: 280.0 Å³/cell
energy above the lowest structure with this stoichiometry: 83 meV per atom

=====

# 19
# La4In2F

La4In2F after structural relaxation (PBE, the Alexandria database).

a b c (Å): 4.9513 4.9513 17.7992
angles (deg): 90.00 90.00 90.00
Space group I4/mmm (No. 139)
Asymmetric unit:
La: 0.0000 0.0000 0.1836
La: 0.0000 0.5000 0.0000
In: 0.0000 0.0000 0.3665
F: 0.0000 0.0000 0.0000

formation energy from raw total energies: -0.96 eV per atom
electronic total energy: -4.824 eV/atom
size of the total moment: 0.701 μB per formula unit
volume: 436.3 Å³/cell

=====

# 20
# LaInF2

LaInF2 after structural relaxation (PBE, the Alexandria database).

a b c (Å): 5.7150 5.7150 13.8562
angles (deg): 90.00 90.00 90.00
Space group I-42d (No. 122)
Asymmetric unit:
La: 0.0000 0.0000 0.0000
In: 0.0000 0.0000 0.5000
F: 0.0666 0.2500 0.1250

formation energy from raw total energies: -2.37 eV per atom
electronic total energy: -5.225 eV/atom
size of the total moment: 0.000 μB per formula unit
volume: 452.6 Å³/cell
energy above the lowest structure with this stoichiometry: 0 meV per atom

=====

# 21
# LaIn3F

LaIn3F after structural relaxation (PBE, the Alexandria database).

a b c (Å): 5.0188 5.0188 5.0188
angles (deg): 90.00 90.00 90.00
Space group Pm-3m (No. 221)
Asymmetric unit:
La: 0.0000 0.0000 0.0000
In: 0.0000 0.5000 0.5000
F: 0.5000 0.5000 0.5000

formation energy from raw total energies: -0.82 eV per atom
electronic total energy: -3.820 eV/atom
size of the total moment: 0.000 μB per formula unit
volume: 126.4 Å³/cell
energy above the lowest structure with this stoichiometry: 0 meV per atom